[1]
Entry from the Alexandria database: crystalline SiAs2Br at its relaxed geometry (PBE).

a b c (Å): 3.7663 4.7185 5.9680
angles (deg): 60.11 90.00 90.00
Atoms (fractional coordinates):
As 0.0000 0.9655 0.9097
As 0.0000 0.5345 0.5903
Br 0.5000 0.2500 0.2500
Si 0.5000 0.7500 0.7500

Output
ΔE to the lowest computed polymorph	0	kJ/mol of formula units
spin magnetization	0.00	μB/f.u.
formation energy without anion corrections	1.32	kcal/mol of atoms
V	22.99	A^3/atom
mass density	4.7	g cm⁻³
uncorrected energy	-4.042	eV/atom

***

[2]
Entry from the Alexandria database: crystalline NaAuN3 at its relaxed geometry (PBE).

a b c (Å): 4.0744 4.0744 4.0744
angles (deg): 90.00 90.00 90.00
Atoms (fractional coordinates):
Na 0.0000 0.0000 0.0000
Au 0.5000 0.5000 0.5000
N 0.0000 0.5000 0.0000
N 0.0000 0.0000 0.5000
N 0.5000 0.0000 0.0000

Output
spin magnetization	1.48	μB/f.u.
formation energy without anion corrections	73.02	kcal/mol of atoms
V	13.53	A^3/atom
mass density	6.4	g cm⁻³
uncorrected energy	-2.748	eV/atom

***

[3]
Entry from the Alexandria database: crystalline BPOsS2 at its relaxed geometry (PBE).

a b c (Å): 4.7173 4.7173 4.4843
angles (deg): 90.00 90.00 90.00
Atoms (fractional coordinates):
P 0.0000 0.0000 0.5000
S 0.0000 0.5000 0.0000
S 0.5000 0.0000 0.0000
B 0.5000 0.5000 0.5000
Os 0.0000 0.0000 0.0000

Output
ΔE to the lowest computed polymorph	195	kJ/mol of formula units
spin magnetization	0.00	μB/f.u.
formation energy without anion corrections	33.93	kcal/mol of atoms
V	19.96	A^3/atom
mass density	4.9	g cm⁻³
uncorrected energy	-4.843	eV/atom

***

[4]
Entry from the Alexandria database: crystalline NaFe2Te2 at its relaxed geometry (PBE).

a b c (Å): 4.0079 4.0079 7.3102
angles (deg): 74.09 74.09 90.00
Atoms (fractional coordinates):
Na 0.0000 0.0000 0.0000
Te 0.3584 0.3584 0.2831
Te 0.6416 0.6416 0.7169
Fe 0.7500 0.2500 0.5000
Fe 0.2500 0.7500 0.5000

Output
spin magnetization	0.00	μB/f.u.
formation energy without anion corrections	-1.99	kcal/mol of atoms
V	21.65	A^3/atom
mass density	6.0	g cm⁻³
uncorrected energy	-4.992	eV/atom

***

[5]
Entry from the Alexandria database: crystalline KMnRu2N at its relaxed geometry (PBE).

a b c (Å): 4.7370 4.0638 4.7370
angles (deg): 90.00 90.00 90.00
Atoms (fractional coordinates):
Ru 0.0000 0.0000 0.5000
Ru 0.5000 0.0000 0.0000
K 0.0000 0.0000 0.0000
Mn 0.5000 0.5000 0.5000
N 0.0000 0.5000 0.0000

Output
spin magnetization	3.88	μB/f.u.
formation energy without anion corrections	82.35	kcal/mol of atoms
V	18.24	A^3/atom
mass density	5.6	g cm⁻³
uncorrected energy	-3.858	eV/atom

***

[6]
Entry from the Alexandria database: crystalline CsBaMnH6 at its relaxed geometry (PBE).

a b c (Å): 5.3338 5.3890 6.6259
angles (deg): 89.99 89.97 61.14
Atoms (fractional coordinates):
Cs 0.0015 0.0076 0.0000
Ba 0.6670 0.6729 0.5000
Mn 0.3330 0.3338 0.5000
H 0.1960 0.1938 0.3475
H 0.1939 0.1951 0.6520
H 0.6053 0.1955 0.6556
H 0.1987 0.6025 0.6577
H 0.1983 0.6024 0.3422
H 0.6062 0.1965 0.3450

Output
spin magnetization	2.01	μB/f.u.
V	18.53	A^3/atom
mass density	3.3	g cm⁻³
uncorrected energy	-3.689	eV/atom

***

[7]
Entry from the Alexandria database: crystalline LaSc3Al at its relaxed geometry (PBE).

a b c (Å): 5.1464 5.1464 5.1464
angles (deg): 90.00 90.00 90.00
Atoms (fractional coordinates):
Sc 0.0000 0.5000 0.0000
Sc 0.0000 0.0000 0.5000
Sc 0.5000 0.0000 0.0000
Al 0.5000 0.5000 0.5000
La 0.0000 0.0000 0.0000

Output
ΔE to the lowest computed polymorph	358	kJ/mol of formula units
spin magnetization	0.00	μB/f.u.
V	27.26	A^3/atom
mass density	3.7	g cm⁻³
energy relative to the elements	0.977	eV/atom
uncorrected energy	-4.556	eV/atom

***

[8]
Entry from the Alexandria database: crystalline KAu2Br8 at its relaxed geometry (PBE).

a b c (Å): 8.0630 7.5090 7.5090
angles (deg): 79.53 79.60 79.60
Atoms (fractional coordinates):
K 0.0000 0.0000 0.0000
Au 0.4167 0.1944 0.1944
Au 0.5833 0.8056 0.8056
Br 0.7408 0.0698 0.6837
Br 0.2592 0.3163 0.9302
Br 0.6530 0.2894 0.2894
Br 0.3470 0.7106 0.7106
Br 0.7408 0.6837 0.0698
Br 0.2592 0.9302 0.3163
Br 0.1042 0.4078 0.4078
Br 0.8958 0.5922 0.5922

Output
spin magnetization	0.00	μB/f.u.
formation energy without anion corrections	-5.64	kcal/mol of atoms
V	39.51	A^3/atom
mass density	4.1	g cm⁻³
uncorrected energy	-2.157	eV/atom